(1)
A plane-wave DFT calculation with GGA-PBE was carried out for an optimized crystal structure of ScHg2.

Output
Its formation energy is -0.284 eV/atom.

Unit cell a=3.6805 b=7.3933 c=5.0460 alpha=90.00 beta=90.00 gamma=75.59
Last column: nearest neighbours and their distance in Å.
Fractional positions:
Hg  0.0101  0.9798  0.0000  4 Sc 2.99-3.13, 6 Hg 3.05-3.16
Hg  0.2153  0.5695  0.5000  6 Sc 3.00-3.18, 4 Hg 3.05-3.09
Hg  0.3403  0.3194  0.0000  6 Sc 3.00-3.18, 4 Hg 3.05-3.09
Hg  0.5455  0.9090  0.5000  4 Sc 2.99-3.13, 6 Hg 3.05-3.16
Sc  0.6747  0.6505  0.0000  10 Hg 2.99-3.18
Sc  0.8808  0.2383  0.5000  10 Hg 2.99-3.18

***

(2)
A plane-wave DFT calculation with GGA-PBE was carried out for an optimized crystal structure of SrY2Ga2.

Output
Its formation energy is -0.321 eV/atom.

Unit cell a=4.7669 b=4.7669 c=7.2488 alpha=70.80 beta=70.80 gamma=90.00
Last column: nearest neighbours and their distance in Å.
Fractional positions:
Y  0.7500  0.2500  0.5000  4 Ga 3.07, 4 Y 3.37
Y  0.2500  0.7500  0.5000  4 Ga 3.07, 4 Y 3.37
Sr  0.0000  0.0000  0.0000  8 Ga 3.60, 8 Y 4.00
Ga  0.4009  0.4009  0.1982  1 Ga 2.54
Ga  0.5991  0.5991  0.8018  1 Ga 2.54

***

(3)
A plane-wave DFT calculation with GGA-PBE was carried out for an optimized crystal structure of Tl2AsO5.

Output
The value obtained for the uncorrected formation energy is -0.814 eV/atom.

Unit cell a=6.1631 b=6.0616 c=5.9037 alpha=128.20 beta=102.86 gamma=97.99
Last column: nearest neighbours and their distance in Å.
Fractional positions:
Tl  0.0518  0.6361  0.2372  5 O 2.21-2.34
Tl  0.6040  0.1970  0.2631  5 O 2.30-2.44
As  0.0185  0.9929  0.0069  5 O 1.77-1.91
O  0.8020  0.1628  0.9533  1 As 1.88
O  0.2600  0.3182  0.1687  1 As 1.80
O  0.8527  0.9076  0.1756  1 As 1.80
O  0.2557  0.8838  0.1467  1 As 1.91
O  0.9323  0.6785  0.6024  1 As 1.77

***

(4)
A plane-wave DFT calculation with GGA-PBE was carried out for an optimized crystal structure of YTlOs.

Output
Its formation energy is 0.256 eV/atom.

Unit cell a=4.7138 b=4.7138 c=3.4763 alpha=90.00 beta=90.00 gamma=120.00
Last column: nearest neighbours and their distance in Å.
Fractional positions:
Os  0.0000  0.0000  0.1668  3 Tl 2.72
Tl  0.6667  0.3333  0.1664  3 Os 2.72
Y  0.3333  0.6667  0.6668  6 Tl 3.23, 6 Os 3.23, 2 Y 3.48

***

(5)
A plane-wave DFT calculation with GGA-PBE was carried out for an optimized crystal structure of LaTc4.

Output
Its formation energy is 0.384 eV/atom.

Unit cell a=4.9641 b=4.9641 c=4.9641 alpha=104.61 beta=104.61 gamma=119.71
Last column: nearest neighbours and their distance in Å.
Fractional positions:
La  0.0000  0.0000  0.0000  16 Tc 3.06-3.29
Tc  0.4998  0.2087  0.7085  3 Tc 2.50-2.53
Tc  0.5002  0.7913  0.2915  3 Tc 2.50-2.53
Tc  0.7913  0.4998  0.2910  3 Tc 2.50-2.53
Tc  0.2087  0.5002  0.7090  3 Tc 2.50-2.53

***

(6)
A plane-wave DFT calculation with GGA-PBE was carried out for an optimized crystal structure of ZnOs3.

Output
Its formation energy is 0.048 eV/atom.

Unit cell a=2.7607 b=2.7607 c=8.6880 alpha=90.00 beta=90.00 gamma=120.00
Last column: nearest neighbours and their distance in Å.
Fractional positions:
Zn  0.3333  0.6667  0.7500  6 Os 2.74, 6 Zn 2.76
Os  0.0000  0.0000  0.0066  9 Os 2.65-2.76, 3 Zn 2.74
Os  0.0000  0.0000  0.4934  9 Os 2.65-2.76, 3 Zn 2.74
Os  0.3333  0.6667  0.2500  12 Os 2.65-2.76

***

(7)
A plane-wave DFT calculation with GGA-PBE was carried out for an optimized crystal structure of Nd5YSc.

Output
Its formation energy is 0.907 eV/atom.

Unit cell a=5.8407 b=7.9832 c=7.9832 alpha=66.00 beta=68.57 gamma=68.57
Last column: nearest neighbours and their distance in Å.
Fractional positions:
Nd  0.7555  0.2445  0.2445  1 Sc 2.95, 1 Y 3.08
Nd  0.0000  0.3174  0.6826  1 Sc 2.76
Nd  0.5000  0.0000  0.0000  2 Sc 2.92
Nd  0.0000  0.6826  0.3174  1 Sc 2.76
Nd  0.2445  0.7555  0.7555  1 Sc 2.95, 1 Y 3.08
Y  0.5000  0.5000  0.5000  6 Nd 3.08-3.32
Sc  0.0000  0.0000  0.0000  6 Nd 2.76-2.95

***

Number 1: total DFT energy (no corrections) -2.596 eV per atom. Number 2: total DFT energy (no corrections) -4.454 eV per atom. Number 3: total DFT energy (no corrections) -5.085 eV per atom. Number 4: total DFT energy (no corrections) -6.431 eV per atom. Number 5: total DFT energy (no corrections) -8.894 eV per atom. Number 6: total DFT energy (no corrections) -8.693 eV per atom. Number 7: total DFT energy (no corrections) -4.326 eV per atom.